Entry 1:
# Th2Ga2Sn GGA-PBE optimized geometry
data_Th2Ga2Sn
_space_group_name_H-M_alt 'C 1 2/m 1'
_space_group_IT_number 12
_space_group_name_Hall '-C 2y'
_cell_length_a 11.609
_cell_length_b 4.440
_cell_length_c 10.883
_cell_angle_alpha 90.00
_cell_angle_beta 114.80
_cell_angle_gamma 90.00
loop_
_atom_site_label
_atom_site_type_symbol
_atom_site_fract_x
_atom_site_fract_y
_atom_site_fract_z
Th1 Th 0.012 0.000 0.182
Th2 Th 0.189 0.000 0.604
Ga1 Ga 0.038 0.500 0.400
Ga2 Ga 0.128 0.500 0.060
Sn1 Sn 0.208 0.500 0.833
# formation enthalpy at 0 K	-0.49	eV/atom
# energy above the lowest structure with this stoichiometry	22	kJ/mol of formula units


Entry 2:
# Th2GaSn GGA-PBE optimized geometry
data_Th2GaSn
_space_group_name_H-M_alt 'P 4/m m m'
_space_group_IT_number 123
_space_group_name_Hall '-P 4 2'
_cell_length_a 3.480
_cell_length_b 3.480
_cell_length_c 8.849
_cell_angle_alpha 90.00
_cell_angle_beta 90.00
_cell_angle_gamma 90.00
loop_
_atom_site_label
_atom_site_type_symbol
_atom_site_fract_x
_atom_site_fract_y
_atom_site_fract_z
Th1 Th 0.000 0.000 0.232
Ga1 Ga 0.500 0.500 0.000
Sn1 Sn 0.500 0.500 0.500
# formation enthalpy at 0 K	-0.47	eV/atom
# energy above the lowest structure with this stoichiometry	29	kJ/mol of formula units


Entry 3:
# ThGa2Sn2 GGA-PBE optimized geometry
data_ThGa2Sn2
_space_group_name_H-M_alt 'C m c m'
_space_group_IT_number 63
_space_group_name_Hall '-C 2c 2'
_cell_length_a 4.788
_cell_length_b 21.375
_cell_length_c 4.651
_cell_angle_alpha 90.00
_cell_angle_beta 90.00
_cell_angle_gamma 90.00
loop_
_atom_site_label
_atom_site_type_symbol
_atom_site_fract_x
_atom_site_fract_y
_atom_site_fract_z
Th1 Th 0.000 0.134 0.250
Ga1 Ga 0.000 0.029 0.750
Ga2 Ga 0.000 0.464 0.750
Sn1 Sn 0.000 0.250 0.750
Sn2 Sn 0.000 0.374 0.250
# formation enthalpy at 0 K	-0.32	eV/atom